VASP calculation (PBE-GGA) on TlCO3 after structural relaxation.

Computed properties:
The symmetry is Cmcm (63). The total moment comes out at 0.34 μB/cell. The formation energy (no corrections) is -0.648 eV/atom.

Cell: 7.2106 7.2106 3.8860 Å, 90.00 90.00 128.55°
With the nearest neighbours (Å) after each atom.
Fractional positions:
1 Tl 0.1278 0.8722 0.7500  6 O 2.81-3.03
2 Tl 0.8722 0.1278 0.2500  6 O 2.81-3.03
3 C 0.3808 0.6192 0.7500  2 O 1.24
4 C 0.6192 0.3808 0.2500  2 O 1.24
5 O 0.1617 0.4745 0.7500  1 C 1.24
6 O 0.4745 0.1617 0.2500  1 C 1.24
7 O 0.5000 0.5000 0.0000  2 C 1.83, 2 O 1.94
8 O 0.5000 0.5000 0.5000  2 C 1.83, 2 O 1.94
9 O 0.5255 0.8383 0.7500  1 C 1.24
10 O 0.8383 0.5255 0.2500  1 C 1.24


VASP calculation (PBE-GGA) on TlZnAgPb after structural relaxation.

Computed properties:
The symmetry is F-43m (216). The total moment comes out at 0.00 μB/cell. The energy of formation comes out at 67 kJ/mol of formula units.

Cell: 7.2758 7.2758 7.2758 Å, 90.00 90.00 90.00°
With the nearest neighbours (Å) after each atom.
Fractional positions:
1 Tl 0.0000 0.0000 0.0000  4 Zn 3.15, 4 Ag 3.15
2 Tl 0.0000 0.5000 0.5000  4 Zn 3.15, 4 Ag 3.15
3 Tl 0.5000 0.0000 0.5000  4 Zn 3.15, 4 Ag 3.15
4 Tl 0.5000 0.5000 0.0000  4 Zn 3.15, 4 Ag 3.15
5 Zn 0.2500 0.2500 0.7500  4 Tl 3.15, 4 Pb 3.15
6 Zn 0.2500 0.7500 0.2500  4 Tl 3.15, 4 Pb 3.15
7 Zn 0.7500 0.2500 0.2500  4 Tl 3.15, 4 Pb 3.15
8 Zn 0.7500 0.7500 0.7500  4 Tl 3.15, 4 Pb 3.15
9 Ag 0.2500 0.2500 0.2500  4 Tl 3.15, 4 Pb 3.15
10 Ag 0.2500 0.7500 0.7500  4 Tl 3.15, 4 Pb 3.15
11 Ag 0.7500 0.2500 0.7500  4 Tl 3.15, 4 Pb 3.15
12 Ag 0.7500 0.7500 0.2500  4 Tl 3.15, 4 Pb 3.15
13 Pb 0.0000 0.0000 0.5000  4 Zn 3.15, 4 Ag 3.15
14 Pb 0.0000 0.5000 0.0000  4 Zn 3.15, 4 Ag 3.15
15 Pb 0.5000 0.0000 0.0000  4 Zn 3.15, 4 Ag 3.15
16 Pb 0.5000 0.5000 0.5000  4 Ag 3.15, 4 Zn 3.15


VASP calculation (PBE-GGA) on DyHo2Ru2 after structural relaxation.

Computed properties:
The symmetry is Cmmm (65). The total moment comes out at 0.00 μB/cell. For the polymorph energy (0 for the lowest one), the calculation gives 0 meV per atom. The energy of formation comes out at -161 kJ/mol of formula units.

Cell: 3.3901 20.3310 3.3668 Å, 90.00 90.00 90.00°
With the nearest neighbours (Å) after each atom.
Fractional positions:
1 Dy 0.0000 0.0000 0.0000  8 Ru 2.99
2 Dy 0.5000 0.5000 0.0000  8 Ru 2.99
3 Ho 0.0000 0.1653 0.0000  4 Ru 2.85
4 Ho 0.0000 0.8347 0.0000  4 Ru 2.85
5 Ho 0.5000 0.3347 0.0000  4 Ru 2.85
6 Ho 0.5000 0.6653 0.0000  4 Ru 2.85
7 Ru 0.0000 0.4114 0.5000  4 Ho 2.85, 4 Dy 2.99
8 Ru 0.0000 0.5886 0.5000  4 Ho 2.85, 4 Dy 2.99
9 Ru 0.5000 0.0886 0.5000  4 Ho 2.85, 4 Dy 2.99
10 Ru 0.5000 0.9114 0.5000  4 Ho 2.85, 4 Dy 2.99


VASP calculation (PBE-GGA) on SrPt after structural relaxation.

Computed properties:
The symmetry is Imm2 (44). The total moment comes out at 0.00 μB/cell. The energy of formation comes out at -117 kJ/mol of formula units.

Cell: 4.4205 12.1229 6.0081 Å, 90.00 90.00 90.00°
With the nearest neighbours (Å) after each atom.
Fractional positions:
1 Sr 0.0000 0.0000 0.0000  6 Pt 3.00-3.05
2 Sr 0.0000 0.2954 0.7651  4 Pt 3.04-3.36
3 Sr 0.0000 0.7046 0.7651  4 Pt 3.04-3.36
4 Sr 0.5000 0.2046 0.2651  4 Pt 3.04-3.36
5 Sr 0.5000 0.5000 0.5000  6 Pt 3.00-3.05
6 Sr 0.5000 0.7954 0.2651  4 Pt 3.04-3.36
7 Pt 0.0000 0.0000 0.5000  4 Pt 2.97, 2 Sr 3.00
8 Pt 0.0000 0.3866 0.2364  3 Pt 2.75-2.97, 3 Sr 3.04-3.05
9 Pt 0.0000 0.6134 0.2364  3 Pt 2.75-2.97, 3 Sr 3.04-3.05
10 Pt 0.5000 0.1134 0.7364  3 Pt 2.75-2.97, 3 Sr 3.04-3.05
11 Pt 0.5000 0.5000 0.0000  4 Pt 2.97, 2 Sr 3.00
12 Pt 0.5000 0.8866 0.7364  3 Pt 2.75-2.97, 3 Sr 3.04-3.05


VASP calculation (PBE-GGA) on Er3Mg2Ni2 after structural relaxation.

Computed properties:
The symmetry is C2/m (12). The total moment comes out at 0.00 μB/cell. For the polymorph energy (0 for the lowest one), the calculation gives 59 meV per atom. The energy of formation comes out at -162 kJ/mol of formula units.

Cell: 11.9714 3.4532 8.4063 Å, 90.00 116.69 90.00°
With the nearest neighbours (Å) after each atom.
Fractional positions:
1 Er 0.0000 0.0000 0.0000  4 Ni 2.76
2 Er 0.1151 0.0000 0.4414  3 Ni 2.73-2.76
3 Er 0.3849 0.5000 0.5586  3 Ni 2.73-2.76
4 Er 0.5000 0.5000 0.0000  4 Ni 2.76
5 Er 0.6151 0.5000 0.4414  3 Ni 2.73-2.76
6 Er 0.8849 0.0000 0.5586  3 Ni 2.73-2.76
7 Mg 0.1695 0.5000 0.8237  2 Ni 2.73
8 Mg 0.3305 0.0000 0.1763  2 Ni 2.73
9 Mg 0.6695 0.0000 0.8237  2 Ni 2.73
10 Mg 0.8305 0.5000 0.1763  2 Ni 2.73
11 Ni 0.1766 0.5000 0.2369  5 Er 2.73-2.76, 2 Mg 2.73
12 Ni 0.3234 0.0000 0.7631  5 Er 2.73-2.76, 2 Mg 2.73
13 Ni 0.6766 0.0000 0.2369  5 Er 2.73-2.76, 2 Mg 2.73
14 Ni 0.8234 0.5000 0.7631  5 Er 2.73-2.76, 2 Mg 2.73


VASP calculation (PBE-GGA) on CaLaTl after structural relaxation.

Computed properties:
The symmetry is P4/nmm (129). The total moment comes out at 0.00 μB/cell. For the polymorph energy (0 for the lowest one), the calculation gives 277 meV per atom. The energy of formation comes out at -35 kJ/mol of formula units.

Cell: 5.2699 5.2699 7.9551 Å, 90.00 90.00 90.00°
With the nearest neighbours (Å) after each atom.
Fractional positions:
1 Ca 0.2500 0.2500 0.2114  4 Tl 3.49, 5 La 3.75-3.79
2 Ca 0.7500 0.7500 0.7886  4 Tl 3.49, 5 La 3.75-3.79
3 La 0.2500 0.2500 0.7356  4 Tl 3.23
4 La 0.7500 0.7500 0.2644  4 Tl 3.23
5 Tl 0.2500 0.7500 0.5000  4 La 3.23, 4 Ca 3.49
6 Tl 0.7500 0.2500 0.5000  4 La 3.23, 4 Ca 3.49


VASP calculation (PBE-GGA) on YMg2Cu after structural relaxation.

Computed properties:
The symmetry is I-42d (122). The total moment comes out at 0.00 μB/cell. The energy of formation comes out at 68 kJ/mol of formula units.

Cell: 4.1548 4.1548 21.7871 Å, 90.00 90.00 90.00°
With the nearest neighbours (Å) after each atom.
Fractional positions:
1 Y 0.0000 0.0000 0.0000  4 Cu 2.94, 4 Mg 3.13
2 Y 0.0000 0.5000 0.2500  4 Cu 2.94, 4 Mg 3.13
3 Y 0.5000 0.0000 0.7500  4 Cu 2.94, 4 Mg 3.13
4 Y 0.5000 0.5000 0.5000  4 Cu 2.94, 4 Mg 3.13
5 Mg 0.2283 0.2500 0.6250  4 Mg 2.81-3.07, 2 Cu 3.07, 2 Y 3.13
6 Mg 0.2500 0.7283 0.8750  4 Mg 2.81-3.07, 2 Cu 3.07, 2 Y 3.13
7 Mg 0.2500 0.7717 0.3750  4 Mg 2.81-3.07, 2 Cu 3.07, 2 Y 3.13
8 Mg 0.2717 0.2500 0.1250  4 Mg 2.81-3.07, 2 Cu 3.07, 2 Y 3.13
9 Mg 0.7283 0.7500 0.1250  4 Mg 2.81-3.07, 2 Cu 3.07, 2 Y 3.13
10 Mg 0.7500 0.2283 0.3750  4 Mg 2.81-3.07, 2 Cu 3.07, 2 Y 3.13
11 Mg 0.7500 0.2717 0.8750  4 Mg 2.81-3.07, 2 Cu 3.07, 2 Y 3.13
12 Mg 0.7717 0.7500 0.6250  4 Mg 2.81-3.07, 2 Cu 3.07, 2 Y 3.13
13 Cu 0.0000 0.0000 0.5000  4 Y 2.94, 4 Mg 3.07
14 Cu 0.0000 0.5000 0.7500  4 Y 2.94, 4 Mg 3.07
15 Cu 0.5000 0.0000 0.2500  4 Y 2.94, 4 Mg 3.07
16 Cu 0.5000 0.5000 0.0000  4 Y 2.94, 4 Mg 3.07


VASP calculation (PBE-GGA) on YSb2TeAu after structural relaxation.

Computed properties:
The symmetry is P4/mmm (123). The total moment comes out at 0.00 μB/cell. For the polymorph energy (0 for the lowest one), the calculation gives 0 meV per atom. The formation energy (no corrections) is 0.120 eV/atom.

Cell: 5.3376 5.3376 5.4990 Å, 90.00 90.00 90.00°
With the nearest neighbours (Å) after each atom.
Fractional positions:
1 Y 0.0000 0.0000 0.0000  4 Te 3.77, 8 Sb 3.83
2 Sb 0.0000 0.5000 0.5000  2 Au 2.67
3 Sb 0.5000 0.0000 0.5000  2 Au 2.67
4 Te 0.5000 0.5000 0.0000  2 Au 2.75
5 Au 0.5000 0.5000 0.5000  4 Sb 2.67, 2 Te 2.75


total moment of number 6 (CaLaTl)?
0.00 μB/cell